Entry from Alexandria via LeMat-Bulk: a geometry-optimized PrEr2Ge2 structure (PBE).

a = 5.675 Å, b = 4.600 Å, c = 10.680 Å
α = 90.00°, β = 102.12°, γ = 90.00°
Atoms (fractional coordinates):
1 Pr 0.076 0.250 0.279
2 Pr 0.924 0.750 0.721
3 Er 0.248 0.250 0.957
4 Er 0.390 0.250 0.624
5 Er 0.610 0.750 0.376
6 Er 0.752 0.750 0.043
7 Ge 0.177 0.750 0.476
8 Ge 0.277 0.750 0.119
9 Ge 0.723 0.250 0.881
10 Ge 0.823 0.250 0.524

## Properties
space-group type = P2_1/m, No. 11
energy of formation = -0.59 eV/atom

Entry from Alexandria via LeMat-Bulk: a geometry-optimized ZrSc2Ti2Rh5 structure (PBE).

a = 9.667 Å, b = 9.667 Å, c = 3.661 Å
α = 90.00°, β = 90.00°, γ = 90.00°
Atoms (fractional coordinates):
1 Zr 0.000 0.000 0.000
2 Zr 0.500 0.500 0.000
3 Sc 0.175 0.325 0.000
4 Sc 0.325 0.825 0.000
5 Sc 0.675 0.175 0.000
6 Sc 0.825 0.675 0.000
7 Ti 0.123 0.623 0.000
8 Ti 0.377 0.123 0.000
9 Ti 0.623 0.877 0.000
10 Ti 0.877 0.377 0.000
11 Rh 0.000 0.500 0.500
12 Rh 0.069 0.793 0.500
13 Rh 0.207 0.069 0.500
14 Rh 0.293 0.569 0.500
15 Rh 0.431 0.293 0.500
16 Rh 0.500 0.000 0.500
17 Rh 0.569 0.707 0.500
18 Rh 0.707 0.431 0.500
19 Rh 0.793 0.931 0.500
20 Rh 0.931 0.207 0.500

## Properties
space-group type = P4/mbm, No. 127
energy of formation = -0.70 eV/atom

Entry from Alexandria via LeMat-Bulk: a geometry-optimized Cu2PBr structure (PBE).

a = 4.602 Å, b = 4.602 Å, c = 3.123 Å
α = 90.00°, β = 90.00°, γ = 100.87°
Atoms (fractional coordinates):
1 Cu 0.000 0.500 0.000
2 Cu 0.500 0.000 0.000
3 P 0.000 0.000 0.500
4 Br 0.500 0.500 0.500

## Properties
distance to the lowest polymorph of the same formula = 55.03 kJ/mol of atoms
formation energy without anion corrections = 0.557 eV per atom
space-group type = Cmmm, No. 65

Entry from Alexandria via LeMat-Bulk: a geometry-optimized Zr2Sc structure (PBE).

a = 5.672 Å, b = 5.672 Å, c = 5.672 Å
α = 107.32°, β = 107.32°, γ = 113.86°
Atoms (fractional coordinates):
1 Zr 0.151 0.651 0.802
2 Zr 0.349 0.151 0.500
3 Zr 0.651 0.849 0.500
4 Zr 0.849 0.349 0.198
5 Sc 0.250 0.250 0.000
6 Sc 0.750 0.750 0.000

## Properties
space-group type = I4/mcm, No. 140
energy of formation = 0.36 eV/atom